Record 1
## K2PdI4 (GGA-PBE)

Data for crystalline K2PdI4 at its relaxed geometry.

POSCAR file:
```
K2PdI4
1.0
8.102 0.000 0.000
0.000 8.102 0.000
0.000 0.000 9.395
K Pd I
4 2 8
Cartesian
0.000 4.051 2.349
0.000 4.051 7.046
4.051 0.000 2.349
4.051 0.000 7.046
0.000 0.000 0.000
4.051 4.051 4.697
1.875 1.875 0.000
1.875 6.226 0.000
2.176 2.176 4.697
2.176 5.926 4.697
5.926 2.176 4.697
5.926 5.926 4.697
6.226 1.875 0.000
6.226 6.226 0.000
```

***

Record 2
## K2PdI8 (GGA-PBE)

Data for crystalline K2PdI8 at its relaxed geometry.

POSCAR file:
```
K2PdI8
1.0
7.250 -6.245 0.000
7.250 6.245 0.000
-3.041 0.000 5.905
K Pd I
2 1 8
Cartesian
2.870 0.000 1.440
8.589 0.000 4.464
7.250 0.000 0.000
-0.756 0.000 1.481
12.215 0.000 4.424
1.819 0.000 4.636
6.465 2.209 1.493
4.993 2.209 4.412
6.465 -2.209 1.493
4.993 -2.209 4.412
9.640 0.000 1.269
```

## Properties
N(E_F)   0.4131 states/eV/atom

***

Record 3
## KPdI (GGA-PBE)

Data for crystalline KPdI at its relaxed geometry.

POSCAR file:
```
KPdI
1.0
10.267 0.000 0.000
0.000 4.616 0.000
0.000 0.000 8.644
K Pd I
4 4 4
Cartesian
2.284 1.154 0.441
2.849 3.462 4.763
7.417 1.154 3.882
7.983 3.462 8.204
0.274 1.154 3.563
4.859 3.462 7.885
5.407 1.154 0.759
9.993 3.462 5.082
0.194 3.462 2.135
4.940 1.154 6.458
5.327 3.462 2.187
10.073 1.154 6.509
```

## Properties
Distance to the lowest polymorph of the same formula   0.088 eV/atom
N(E_F)   0.1506 states/eV/atom

***

Record 4
## KPdI (GGA-PBE)

Data for crystalline KPdI at its relaxed geometry.

POSCAR file:
```
KPdI
1.0
13.221 0.000 0.000
0.000 4.272 0.000
-0.706 0.000 6.980
K Pd I
4 4 4
Cartesian
1.253 0.000 2.042
4.652 2.136 4.939
7.863 2.136 2.042
11.263 0.000 4.939
2.099 0.000 6.252
3.806 2.136 0.728
8.709 2.136 6.252
10.417 0.000 0.728
1.024 2.136 5.031
4.881 0.000 1.950
7.635 0.000 5.031
11.491 2.136 1.950
```

## Properties
Distance to the lowest polymorph of the same formula   0.079 eV/atom
N(E_F)   0.2014 states/eV/atom

***

Record 5
## KPdI2 (GGA-PBE)

Data for crystalline KPdI2 at its relaxed geometry.

POSCAR file:
```
KPdI2
1.0
4.532 0.000 0.000
-2.266 3.925 0.000
0.000 0.000 22.675
K Pd I
3 3 6
Cartesian
0.000 0.000 0.000
0.000 2.616 15.117
2.266 1.308 7.558
0.000 0.000 11.337
0.000 2.616 3.779
2.266 1.308 18.896
0.000 0.000 5.227
0.000 0.000 17.448
0.000 2.616 9.890
0.000 2.616 20.343
2.266 1.308 2.331
2.266 1.308 12.785
```

## Properties
Distance to the lowest polymorph of the same formula   0.052 eV/atom
N(E_F)   1.1503 states/eV/atom

***

Record 6
## KPdI (GGA-PBE)

Data for crystalline KPdI at its relaxed geometry.

POSCAR file:
```
KPdI
1.0
7.079 0.000 0.000
0.000 7.079 0.000
0.000 0.000 7.079
K Pd I
4 4 4
Cartesian
0.000 0.000 0.000
0.000 3.540 3.540
3.540 0.000 3.540
3.540 3.540 0.000
1.770 1.770 5.310
1.770 5.310 1.770
5.310 1.770 1.770
5.310 5.310 5.310
0.000 0.000 3.540
0.000 3.540 0.000
3.540 0.000 0.000
3.540 3.540 3.540
```

## Properties
Distance to the lowest polymorph of the same formula   0.271 eV/atom
N(E_F)   0.0000 states/eV/atom

***

Record 7
## KPdI (GGA-PBE)

Data for crystalline KPdI at its relaxed geometry.

POSCAR file:
```
KPdI
1.0
4.926 0.000 0.000
2.144 4.438 0.000
2.130 1.646 9.775
K Pd I
2 2 2
Cartesian
0.000 0.000 0.000
2.196 1.376 4.160
3.487 4.358 7.028
3.961 1.565 7.006
4.631 2.906 2.083
5.911 3.403 6.878
```

## Properties
Distance to the lowest polymorph of the same formula   0.023 eV/atom
N(E_F)   0.0000 states/eV/atom

***

Record 8
## K2PdI4 (GGA-PBE)

Data for crystalline K2PdI4 at its relaxed geometry.

POSCAR file:
```
K2PdI4
1.0
5.688 0.000 0.000
0.000 5.688 0.000
0.000 0.000 17.341
K Pd I
4 2 8
Cartesian
0.000 0.000 2.327
0.000 0.000 15.014
2.844 2.844 6.343
2.844 2.844 10.997
0.000 0.000 8.670
2.844 2.844 0.000
0.000 0.000 5.916
0.000 0.000 11.425
0.000 2.844 0.000
0.000 2.844 8.670
2.844 0.000 0.000
2.844 0.000 8.670
2.844 2.844 2.754
2.844 2.844 14.586
```

## Properties
N(E_F)   0.0495 states/eV/atom

***

Record 9
## K3PdI6 (GGA-PBE)

Data for crystalline K3PdI6 at its relaxed geometry.

POSCAR file:
```
K3PdI6
1.0
8.197 0.000 0.000
0.000 9.037 0.000
-7.342 0.000 11.548
K Pd I
6 2 12
Cartesian
0.000 0.000 0.000
-3.671 4.519 5.774
-3.764 0.741 8.550
-0.092 3.778 2.776
0.947 5.260 8.772
4.618 8.297 2.998
0.427 0.000 5.774
4.099 4.519 0.000
-1.821 1.457 5.331
-5.492 3.062 11.105
-1.001 6.550 4.822
-4.672 7.007 10.596
1.294 0.542 3.271
-2.377 3.976 9.045
3.232 5.061 2.503
-0.439 8.495 8.277
5.527 2.031 0.952
1.856 2.488 6.726
6.347 5.975 0.443
2.676 7.581 6.217
```

## Properties
N(E_F)   0.1584 states/eV/atom

***

Record 10
## KPdI4 (GGA-PBE)

Data for crystalline KPdI4 at its relaxed geometry.

POSCAR file:
```
KPdI4
1.0
8.418 0.000 0.000
0.000 7.605 0.000
-0.826 0.000 7.459
K Pd I
2 2 8
Cartesian
0.000 0.000 0.000
-0.413 3.803 3.730
3.796 0.000 3.730
4.209 3.803 0.000
1.188 0.597 3.378
0.775 3.205 7.107
3.305 5.294 2.209
2.892 6.114 5.939
4.699 1.491 1.520
4.286 2.311 5.250
6.816 4.400 0.352
6.403 7.008 4.081
```

## Properties
Distance to the lowest polymorph of the same formula   0.013 eV/atom
N(E_F)   0.4861 states/eV/atom

***

Record 11
## KPdI5 (GGA-PBE)

Data for crystalline KPdI5 at its relaxed geometry.

POSCAR file:
```
KPdI5
1.0
8.781 -4.201 0.000
8.781 4.201 0.000
-6.889 0.000 8.575
K Pd I
2 2 10
Cartesian
3.614 4.196 6.432
7.058 -4.196 2.144
8.781 0.000 0.000
5.336 0.000 4.288
0.310 2.039 7.699
4.131 2.028 2.924
6.918 2.039 5.164
9.986 2.028 1.364
3.614 0.628 6.432
7.058 -0.628 2.144
0.686 -2.028 7.211
3.754 -2.039 3.411
6.542 -2.028 5.652
10.363 -2.039 0.877
```

## Properties
N(E_F)   0.5206 states/eV/atom

***

Record 12
## K2PdI (GGA-PBE)

Data for crystalline K2PdI at its relaxed geometry.

POSCAR file:
```
K2PdI
1.0
8.195 0.000 0.000
0.000 8.195 0.000
0.000 0.000 8.195
K Pd I
8 4 4
Cartesian
2.049 2.049 2.049
2.049 2.049 6.146
2.049 6.146 2.049
2.049 6.146 6.146
6.146 2.049 2.049
6.146 2.049 6.146
6.146 6.146 2.049
6.146 6.146 6.146
0.000 0.000 0.000
0.000 4.098 4.098
4.098 0.000 4.098
4.098 4.098 0.000
0.000 0.000 4.098
0.000 4.098 0.000
4.098 0.000 0.000
4.098 4.098 4.098
```

## Properties
Distance to the lowest polymorph of the same formula   0.000 eV/atom
N(E_F)   0.9731 states/eV/atom

***

Quick rundown of energy, same order as above: -2.88, -2.30, -3.19, -3.20, -2.88, -3.00, -3.25, -2.83, -2.65, -2.61, -2.46, -2.57 eV per atom